## GaMoAs (PBE)

Data for GaMoAs after structural relaxation.

a b c (Å): 4.267 4.267 4.267
angles (deg): 60.00 60.00 60.00
Positions (direct):
As1 0.000 0.000 0.000
Ga1 0.250 0.250 0.250
Mo1 0.750 0.750 0.750

Values from the calculation:
Space group: F-43m
E (eV/atom): -5.74
Size of the total moment (Bohr magnetons per cell): 0.01
Energy above the lowest structure with this stoichiometry (meV per atom): 603.9